[1]
Below is a geometry-optimized CsNaSn structure, with properties calculated at the PBE level.

The structure in POSCAR format:
```
CsNaSn
1.0
5.468 0.000 0.000
-2.734 4.736 -0.009
0.000 0.013 12.218
Sn Na Cs
2 2 2
direct
0.000 0.999 0.385
0.000 0.001 0.615
0.667 0.334 0.544
0.333 0.666 0.456
0.666 0.332 0.191
0.334 0.668 0.809
```

Results
Volume, Å³ per atom: 52.73
Distance to the lowest polymorph of the same formula, meV/atom: 0
Formation enthalpy at 0 K, eV per atom: -0.186
Magnetic moment, μB/cell: 0.000



[2]
Below is a geometry-optimized PrGa2Ge structure, with properties calculated at the PBE level.

The structure in POSCAR format:
```
PrGa2Ge
1.0
-0.355 -4.145 1.811
3.384 -1.333 -2.389
2.715 1.164 3.196
Ga Pr Ge
2 1 1
direct
0.000 0.000 0.500
0.000 0.500 0.000
0.500 0.500 0.500
0.500 0.000 0.000
```

Results
Volume, Å³ per atom: 21.48
Distance to the lowest polymorph of the same formula, meV/atom: 0
Formation enthalpy at 0 K, eV per atom: -0.491
Magnetic moment, μB/cell: 0.000



[3]
Below is a geometry-optimized VZnH structure, with properties calculated at the PBE level.

The structure in POSCAR format:
```
VZnH
1.0
4.627 0.000 0.000
0.000 5.685 0.000
0.000 0.000 4.699
H V Zn
4 4 4
direct
0.755 0.250 0.754
0.745 0.750 0.254
0.245 0.750 0.246
0.255 0.250 0.746
0.000 0.250 0.484
0.500 0.250 0.016
0.000 0.750 0.516
0.500 0.750 0.984
0.000 0.500 0.000
0.500 0.500 0.500
0.500 0.000 0.500
0.000 0.000 0.000
```

Results
Volume, Å³ per atom: 10.30
Distance to the lowest polymorph of the same formula, meV/atom: 290
Magnetic moment, μB/cell: 0.001



[4]
Below is a geometry-optimized AlCd2Se structure, with properties calculated at the PBE level.

The structure in POSCAR format:
```
AlCd2Se
1.0
3.372 0.000 0.000
0.000 3.372 0.000
0.000 0.000 8.109
Se Al Cd
1 1 2
direct
0.000 0.000 0.575
0.500 0.500 0.712
0.000 0.000 0.978
0.500 0.500 0.234
```

Results
Volume, Å³ per atom: 23.06
Distance to the lowest polymorph of the same formula, meV/atom: 133
Magnetic moment, μB/cell: 0.000



[5]
Below is a geometry-optimized TaIr4Ru structure, with properties calculated at the PBE level.

The structure in POSCAR format:
```
TaIr4Ru
1.0
0.000 3.623 3.623
3.623 0.000 3.623
3.623 3.623 0.000
Ir Ru Ta
4 1 1
direct
0.874 0.375 0.375
0.375 0.874 0.375
0.375 0.375 0.874
0.375 0.375 0.375
0.750 0.750 0.750
0.000 0.000 0.000
```

Results
Volume, Å³ per atom: 15.86
Distance to the lowest polymorph of the same formula, meV/atom: 268
Formation enthalpy at 0 K, eV per atom: 0.133
Magnetic moment, μB/cell: 1.496



[6]
Below is a geometry-optimized Tl5Bi3O12 structure, with properties calculated at the PBE level.

The structure in POSCAR format:
```
Tl5Bi3O12
1.0
-4.849 -4.777 9.716
11.624 -2.362 -0.188
-1.646 11.748 0.125
O Tl Bi
48 20 12
direct
0.046 0.634 0.718
0.282 0.416 0.828
0.546 0.218 0.134
0.282 0.866 0.954
0.172 0.084 0.718
0.954 0.366 0.282
0.634 0.588 0.916
0.416 0.282 0.328
0.718 0.584 0.172
0.088 0.916 0.134
0.084 0.912 0.366
0.588 0.634 0.416
0.454 0.672 0.088
0.718 0.134 0.046
0.134 0.718 0.546
0.912 0.084 0.866
0.782 0.328 0.916
0.588 0.954 0.672
0.828 0.912 0.046
0.412 0.046 0.328
0.546 0.328 0.912
0.134 0.416 0.088
0.412 0.366 0.584
0.046 0.412 0.828
0.328 0.782 0.416
0.916 0.828 0.782
0.084 0.172 0.218
0.866 0.282 0.454
0.584 0.866 0.412
0.366 0.412 0.084
0.366 0.954 0.782
0.916 0.088 0.634
0.828 0.916 0.282
0.328 0.546 0.412
0.782 0.454 0.366
0.416 0.134 0.588
0.954 0.588 0.172
0.218 0.546 0.634
0.584 0.718 0.672
0.454 0.782 0.866
0.218 0.672 0.084
0.912 0.828 0.546
0.634 0.046 0.218
0.088 0.172 0.454
0.866 0.584 0.912
0.672 0.454 0.588
0.672 0.218 0.584
0.172 0.088 0.954
0.125 0.750 0.375
0.375 0.250 0.125
0.500 0.000 0.500
0.000 0.000 0.500
0.000 0.000 0.000
0.750 0.125 0.875
0.500 0.500 0.000
0.875 0.625 0.750
0.625 0.875 0.250
0.500 0.500 0.500
0.250 0.375 0.625
0.375 0.125 0.750
0.500 0.000 0.000
0.000 0.500 0.000
0.250 0.875 0.125
0.000 0.500 0.500
0.625 0.750 0.875
0.875 0.250 0.625
0.750 0.625 0.375
0.125 0.375 0.250
0.125 0.875 0.750
0.375 0.750 0.625
0.625 0.250 0.375
0.750 0.875 0.625
0.250 0.125 0.375
0.250 0.625 0.875
0.875 0.750 0.125
0.625 0.375 0.750
0.125 0.250 0.875
0.875 0.125 0.250
0.375 0.625 0.250
0.750 0.375 0.125
```

Results
Volume, Å³ per atom: 16.07
Total energy, eV per atom: -4.9453
Magnetic moment, μB/cell: 0.000